BPPt6Pb: optimized geometry, PBE-GGA.

```
18
Lattice="-2.262 0.240 -7.048 -7.591 0.053 2.438 5.015 5.308 2.462" Properties=species:S:1:pos:R:3 pbc="T T T"
P 2.508 2.654 1.231
Pb -1.870 1.743 0.659
Pt 0.710 4.053 1.659
B -1.131 0.120 -3.524
Pt -1.823 4.617 0.742
Pt -5.671 1.379 1.867
Pt -4.531 1.440 -0.639
Pt -3.355 4.082 2.965
Pt -4.372 4.190 -0.203
Pt -0.466 1.412 -1.945
Pt -0.307 4.161 -1.509
Pb -2.968 3.859 -2.807
B -4.926 0.147 -2.305
Pt -3.015 0.985 -2.890
Pt -5.548 1.548 -3.807
Pt 0.834 4.222 -4.015
P 1.377 2.774 -2.293
Pt -1.482 1.520 -5.113
```

Output
Magnetic moment in μB/f.u.: 0.00
Uncorrected energy in eV per atom: -6.03
DOS at the Fermi energy in states/eV per cell: 4.62
ΔH_f (0 K) in eV/atom: -0.245
Space-group type: Imma

BPRuPb2: optimized geometry, PBE-GGA.

```
5
Lattice="-3.500 -0.713 -4.118 -0.371 -4.204 1.043 -4.153 1.192 3.323" Properties=species:S:1:pos:R:3 pbc="T T T"
Ru -0.186 -2.102 0.522
P 0.000 0.000 0.000
Pb -1.750 -0.356 -2.059
Pb -2.076 0.596 1.662
B -4.012 -1.863 0.125
```

Output
Magnetic moment in μB/f.u.: 0.00
Uncorrected energy in eV per atom: -4.40
DOS at the Fermi energy in states/eV per cell: 4.56
ΔH_f (0 K) in eV/atom: 1.360
Space-group type: P4/mmm

BP2PbS: optimized geometry, PBE-GGA.

```
5
Lattice="-4.753 -0.810 -2.271 1.688 -4.702 -1.855 -1.701 -2.344 4.394" Properties=species:S:1:pos:R:3 pbc="T T T"
P -2.376 -0.405 -1.136
Pb 0.000 0.000 0.000
S -0.850 -1.172 2.197
P 0.844 -2.351 -0.927
B -2.383 -3.928 0.134
```

Output
E above lowest polymorph in kcal/mol of atoms: 32.03
Magnetic moment in μB/f.u.: 1.90
Uncorrected energy in eV per atom: -3.01
DOS at the Fermi energy in states/eV per cell: 4.26
Formation energy (no corrections) in kJ/mol of atoms: 199
Space-group type: P4/mmm

BPPbS2: optimized geometry, PBE-GGA.

```
5
Lattice="-0.915 1.464 4.969 1.900 -4.599 1.705 4.846 2.103 0.273" Properties=species:S:1:pos:R:3 pbc="T T T"
S -0.458 0.732 2.484
S 0.950 -2.300 0.852
B 2.915 -0.516 3.473
P 2.423 1.051 0.137
Pb 0.000 0.000 0.000
```

Output
Magnetic moment in μB/f.u.: 1.77
Uncorrected energy in eV per atom: -3.02
DOS at the Fermi energy in states/eV per cell: 3.90
Formation energy (no corrections) in kJ/mol of atoms: 173
Space-group type: P4/mmm

> Number 1 is which compound?

BPPt6Pb